# 1
AcHoGe: optimized geometry, PBE-GGA.

Cell: 4.601 4.879 4.879 Å, 120.00 90.00 90.00°
Atoms (fractional coordinates):
Ac (0.667, 0.333, 0.667)
Ge (0.165, 0.000, 0.000)
Ho (0.168, 0.667, 0.333)

Output
The value obtained for the energy above the most stable polymorph in this dataset is 127 meV per atom. Its formation energy is -436 meV per atom.



# 2
AcHoGe: optimized geometry, PBE-GGA.

Cell: 4.632 4.632 8.459 Å, 90.00 89.99 90.00°
Last column: magnetic moment on the atom in μB.
Atoms (fractional coordinates):
Ho (0.814, 0.366, 0.920)  0.33
Ho (0.314, 0.866, 0.920)  0.33
Ac (0.814, 0.866, 0.564)  0.19
Ac (0.313, 0.366, 0.276)  0.19
Ge (0.314, 0.367, 0.682)  -0.01
Ge (0.813, 0.867, 0.157)  -0.01

Output
The value obtained for the energy above the most stable polymorph in this dataset is 0 meV per atom. Its formation energy is -564 meV per atom.



# 3
Ac2HoGe3: optimized geometry, PBE-GGA.

Cell: 6.220 10.117 7.007 Å, 111.14 116.35 90.00°
Atoms (fractional coordinates):
Ge (0.879, 0.939, 0.758)
Ge (0.499, 0.750, 0.000)
Ge (0.121, 0.061, 0.242)
Ge (0.121, 0.561, 0.242)
Ge (0.501, 0.250, 0.000)
Ge (0.879, 0.439, 0.758)
Ac (0.675, 0.087, 0.350)
Ac (0.325, 0.913, 0.650)
Ac (0.675, 0.587, 0.350)
Ac (0.325, 0.413, 0.650)
Ho (0.000, 0.750, 0.000)
Ho (0.000, 0.250, 0.000)

Output
Its formation energy is -594 meV per atom.



# 4
Ac3HoGe6: optimized geometry, PBE-GGA.

Cell: 8.195 8.195 8.195 Å, 98.30 98.30 98.30°
Atoms (fractional coordinates):
Ac (0.684, 0.816, 0.250)
Ac (0.816, 0.250, 0.684)
Ac (0.250, 0.684, 0.816)
Ac (0.316, 0.184, 0.750)
Ac (0.184, 0.750, 0.316)
Ac (0.750, 0.316, 0.184)
Ge (0.878, 0.591, 0.517)
Ge (0.909, 0.622, 0.983)
Ge (0.378, 0.017, 0.091)
Ge (0.122, 0.409, 0.483)
Ge (0.483, 0.122, 0.409)
Ge (0.622, 0.983, 0.909)
Ge (0.591, 0.517, 0.878)
Ge (0.091, 0.378, 0.017)
Ge (0.517, 0.878, 0.591)
Ge (0.017, 0.091, 0.378)
Ge (0.983, 0.909, 0.622)
Ge (0.409, 0.483, 0.122)
Ho (0.500, 0.500, 0.500)
Ho (0.000, 0.000, 0.000)

Output
Its formation energy is -618 meV per atom.



# 5
AcHoGe2: optimized geometry, PBE-GGA.

Cell: 4.180 8.725 11.847 Å, 90.00 90.00 90.00°
Atoms (fractional coordinates):
Ac (0.250, 0.630, 0.633)
Ac (0.750, 0.370, 0.367)
Ac (0.750, 0.870, 0.133)
Ac (0.250, 0.130, 0.867)
Ge (0.250, 0.164, 0.184)
Ge (0.250, 0.740, 0.942)
Ge (0.250, 0.664, 0.316)
Ge (0.250, 0.240, 0.558)
Ge (0.750, 0.836, 0.816)
Ge (0.750, 0.336, 0.684)
Ge (0.750, 0.260, 0.058)
Ge (0.750, 0.760, 0.442)
Ho (0.750, 0.507, 0.889)
Ho (0.750, 0.007, 0.611)
Ho (0.250, 0.993, 0.389)
Ho (0.250, 0.493, 0.111)

Output
Its formation energy is -677 meV per atom.



# 6
AcHo4Ge4: optimized geometry, PBE-GGA.

Cell: 5.731 9.494 9.494 Å, 90.00 90.00 90.00°
Atoms (fractional coordinates):
Ge (0.898, 0.687, 0.167)
Ge (0.398, 0.667, 0.813)
Ge (0.398, 0.333, 0.187)
Ge (0.102, 0.833, 0.687)
Ge (0.898, 0.313, 0.833)
Ge (0.102, 0.167, 0.313)
Ge (0.602, 0.187, 0.667)
Ge (0.602, 0.813, 0.333)
Ho (0.385, 0.360, 0.883)
Ho (0.115, 0.860, 0.383)
Ho (0.115, 0.140, 0.617)
Ho (0.885, 0.617, 0.860)
Ho (0.615, 0.883, 0.640)
Ho (0.885, 0.383, 0.140)
Ho (0.615, 0.117, 0.360)
Ho (0.385, 0.640, 0.117)
Ac (0.500, 0.500, 0.500)
Ac (0.000, 0.000, 0.000)

Output
Its formation energy is -603 meV per atom.



# 7
Ac2HoGe: optimized geometry, PBE-GGA.

Cell: 4.832 5.144 5.144 Å, 90.00 90.00 90.00°
Atoms (fractional coordinates):
Ac (0.000, 0.000, 0.500)
Ac (0.000, 0.500, 0.000)
Ho (0.500, 0.500, 0.500)
Ge (0.500, 0.000, 0.000)

Output
The value obtained for the energy above the most stable polymorph in this dataset is 0 meV per atom. Its formation energy is -180 meV per atom.



# 8
Ac12HoGe7: optimized geometry, PBE-GGA.

Cell: 9.889 9.889 9.889 Å, 107.45 107.45 107.45°
Atoms (fractional coordinates):
Ac (0.622, 0.541, 0.849)
Ac (0.311, 0.774, 0.925)
Ac (0.226, 0.075, 0.689)
Ac (0.849, 0.622, 0.541)
Ac (0.925, 0.311, 0.774)
Ac (0.378, 0.459, 0.151)
Ac (0.075, 0.689, 0.226)
Ac (0.459, 0.151, 0.378)
Ac (0.689, 0.226, 0.075)
Ac (0.774, 0.925, 0.311)
Ac (0.541, 0.849, 0.622)
Ac (0.151, 0.378, 0.459)
Ge (0.888, 0.966, 0.663)
Ge (0.663, 0.888, 0.966)
Ge (0.112, 0.034, 0.337)
Ge (0.034, 0.337, 0.112)
Ge (0.337, 0.112, 0.034)
Ge (0.966, 0.663, 0.888)
Ge (0.500, 0.500, 0.500)
Ho (0.000, 0.000, 0.000)

Output
Its formation energy is -406 meV per atom.



# 9
AcHoInGe: optimized geometry, PBE-GGA.

Cell: 5.441 5.441 5.441 Å, 60.00 60.00 60.00°
Atoms (fractional coordinates):
In (0.750, 0.750, 0.750)
Ac (0.500, 0.500, 0.500)
Ge (0.250, 0.250, 0.250)
Ho (0.000, 0.000, 0.000)

Output
Its formation energy is -419 meV per atom.



# 10
AcHoGeIr: optimized geometry, PBE-GGA.

Cell: 5.178 5.178 5.178 Å, 60.00 60.00 60.00°
Atoms (fractional coordinates):
Ho (0.500, 0.500, 0.500)
Ir (0.250, 0.250, 0.250)
Ac (0.000, 0.000, 0.000)
Ge (0.750, 0.750, 0.750)

Output
Its formation energy is -497 meV per atom.



# 11
AcHoNi2Ge2: optimized geometry, PBE-GGA.

Cell: 4.328 4.328 7.542 Å, 90.00 90.00 120.00°
Atoms (fractional coordinates):
Ni (0.667, 0.333, 0.309)
Ni (0.333, 0.667, 0.691)
Ge (0.333, 0.667, 0.290)
Ge (0.667, 0.333, 0.710)
Ac (0.000, 0.000, 0.000)
Ho (0.000, 0.000, 0.500)

Output
Its formation energy is -708 meV per atom.



# 12
AcHoGeO5: optimized geometry, PBE-GGA.

Cell: 6.062 6.062 7.645 Å, 102.15 102.15 107.80°
Atoms (fractional coordinates):
Ac (0.667, 0.333, 0.750)
Ac (0.333, 0.667, 0.250)
O (0.098, 0.902, 0.250)
O (0.400, 0.267, 0.081)
O (0.672, 0.102, 0.375)
O (0.267, 0.400, 0.581)
O (0.902, 0.098, 0.750)
O (0.898, 0.328, 0.125)
O (0.328, 0.898, 0.625)
O (0.600, 0.733, 0.919)
O (0.102, 0.672, 0.875)
O (0.733, 0.600, 0.419)
Ho (0.000, 0.000, 0.500)
Ho (0.000, 0.000, 0.000)
Ge (0.321, 0.679, 0.750)
Ge (0.679, 0.321, 0.250)

Output
The calculation puts the energy relative to the elements, uncorrected at -2875 meV/atom.



| no. | VASP energy (eV per cell) |
| --- | --- |
| 1 | -14.61 |
| 2 | -29.99 |
| 3 | -60.42 |
| 4 | -101.58 |
| 5 | -82.51 |
| 6 | -92.62 |
| 7 | -18.13 |
| 8 | -94.33 |
| 9 | -17.72 |
| 10 | -24.15 |
| 11 | -33.73 |
| 12 | -122.18 |